The following is a PBE calculation of crystalline InSb2PdI at its relaxed geometry, from the Alexandria database.

a b c (Å): 5.228 5.228 5.921
angles (deg): 90.00 90.00 90.00
Space group P4/mmm (No. 123)
Unique sites:
In  0.000  0.000  0.000 x1
Sb  0.000  0.500  0.500 x2
Pd  0.500  0.500  0.500 x1
I  0.500  0.500  0.000 x1

Spin magnetization (μB/cell): 1.1
Uncorrected formation energy (meV/atom): 218